A geometry-optimized Cs3AsF6 structure. Source: Alexandria via LeMat-Bulk, functional GGA-PBE.

Cell lengths 6.945, 6.943, 6.943 Å; angles 59.97, 59.98, 59.98 degrees
Fractional coordinates of all 10 atoms:
Cs 0.750 0.750 0.750
Cs 0.250 0.250 0.250
F 0.788 0.788 0.212
F 0.212 0.788 0.212
F 0.212 0.212 0.788
F 0.788 0.212 0.212
F 0.212 0.788 0.788
Cs 0.500 0.500 0.500
F 0.788 0.212 0.788
As 0.000 0.000 0.000

Computed properties:
- calculated density (g/cm3) = 4.12
- energy relative to the elements, uncorrected (eV per formula unit) = -25.167